[1]
4
Lattice="1.728 0.998 10.121 -1.728 0.998 10.121 0.000 -1.996 10.121" Properties=species:S:1:pos:R:3 comment="YPa2P, optimized geometry, DFT GGA-PBE" formation_enthalpy_0k_ev_per_atom=-0.142 n_ef_per_ev_fu=6.87 final_energy_ev_per_atom=-7.86 spacegroup="R-3m (166)" pbc="T T T"
Y 0.000 0.000 0.000
Pa 0.000 0.000 3.201
Pa 0.000 0.000 27.163
P 0.000 0.000 15.182

***

[2]
8
Lattice="3.986 0.000 0.000 -1.993 3.452 0.000 0.000 0.000 12.993" Properties=species:S:1:pos:R:3 comment="YPaP2, optimized geometry, DFT GGA-PBE" formation_enthalpy_0k_ev_per_atom=-1.433 n_ef_per_ev_fu=2.27 final_energy_ev_per_atom=-8.13 spacegroup="P6_3/mmc (194)" pbc="T T T"
Y 0.000 2.301 3.248
Y 1.993 1.151 9.744
Pa 0.000 0.000 0.000
Pa 0.000 0.000 6.496
P 0.000 2.301 8.070
P 0.000 2.301 11.419
P 1.993 1.151 1.574
P 1.993 1.151 4.923

***

[3]
3
Lattice="3.747 0.000 0.000 -1.874 3.245 0.000 0.000 0.000 6.464" Properties=species:S:1:pos:R:3 comment="YPaP, optimized geometry, DFT GGA-PBE" formation_enthalpy_0k_ev_per_atom=-0.646 n_ef_per_ev_fu=4.07 final_energy_ev_per_atom=-7.77 spacegroup="P3m1 (156)" pbc="T T T"
Y 0.000 0.000 0.000
Pa 0.000 2.163 3.062
P 1.874 1.082 4.764

***

[4]
6
Lattice="1.718 -12.053 0.000 1.718 12.053 0.000 0.000 0.000 3.434" Properties=species:S:1:pos:R:3 comment="YPaP, optimized geometry, DFT GGA-PBE" formation_enthalpy_0k_ev_per_atom=-0.556 n_ef_per_ev_fu=4.35 final_energy_ev_per_atom=-7.68 spacegroup="Cmcm (63)" pbc="T T T"
Y 1.718 7.463 2.575
Y 1.718 -7.463 0.858
Pa 1.718 10.690 2.575
Pa 1.718 -10.690 0.858
P 1.718 2.906 2.575
P 1.718 -2.906 0.858

***

no.,volume (Å³ per cell)
1,105
2,179
3,79
4,142